No. 1
Li2TlCd3 | Alexandria via LeMat-Bulk | GGA-PBE | optimized geometry; energy = -9.78 eV/cell
1.0
3.1140 0.0000 0.0000
0.0000 4.9680 0.0000
0.0000 0.0000 8.6625
Li Tl Cd
2 1 3
Direct
0.0000 0.0000 0.0000
0.0000 0.5000 0.4770
0.5000 0.5000 0.8235
0.5000 0.0000 0.3159
0.5000 0.0000 0.6416
0.5000 0.5000 0.1621

No. 2
NdPuRuPb | Alexandria via LeMat-Bulk | GGA-PBE | optimized geometry; energy = -32.98 eV/cell
1.0
3.3794 0.0000 0.0000
0.0000 3.3794 0.0000
0.0000 0.0000 8.8005
Nd Pu Ru Pb
1 1 1 1
Direct
0.0000 0.0000 0.0000
0.0000 0.0000 0.6003
0.5000 0.5000 0.7856
0.5000 0.5000 0.3040

No. 3
KVSe2 | Alexandria via LeMat-Bulk | GGA-PBE | optimized geometry; E_form (uncorrected) = -0.8820 eV per atom
1.0
3.4065 0.0000 0.0000
-1.6700 6.9583 0.0000
-0.0012 -2.2942 8.5892
K V Se
2 2 4
Direct
0.0956 0.1867 0.3420
0.9044 0.8133 0.6580
0.1925 0.3831 0.8886
0.8075 0.6169 0.1114
0.3552 0.7134 0.3270
0.3706 0.7450 0.9578
0.6294 0.2550 0.0422
0.6448 0.2866 0.6730

No. 4
Cs3CaAg | Alexandria via LeMat-Bulk | GGA-PBE | optimized geometry; energy = -4.57 eV/cell
1.0
8.1509 0.0000 0.0000
0.0000 8.1509 0.0000
0.0000 0.0000 8.1509
Cs Ca Ag
3 1 1
Direct
0.0000 0.0000 0.5000
0.0000 0.5000 0.0000
0.5000 0.0000 0.0000
0.0000 0.0000 0.0000
0.5000 0.5000 0.5000

No. 5
U3FeC3 | Alexandria via LeMat-Bulk | GGA-PBE | optimized geometry; energy = -140.68 eV/cell
1.0
6.8772 0.0000 0.0000
-3.4386 5.9559 0.0000
0.0000 0.0000 5.0683
U Fe C
6 2 6
Direct
0.1003 0.7034 0.2500
0.2966 0.3969 0.2500
0.3969 0.1003 0.7500
0.6031 0.8997 0.2500
0.7034 0.6031 0.7500
0.8997 0.2966 0.7500
0.3333 0.6667 0.7500
0.6667 0.3333 0.2500
0.0839 0.7186 0.7500
0.2814 0.3653 0.7500
0.3653 0.0839 0.2500
0.6347 0.9161 0.7500
0.7186 0.6347 0.2500
0.9161 0.2814 0.2500

No. 6
CdHgRh2 | Alexandria via LeMat-Bulk | GGA-PBE | optimized geometry; energy = -15.59 eV/cell
1.0
2.9423 0.0000 0.0000
0.0000 2.9423 0.0000
0.0000 0.0000 8.1773
Cd Hg Rh
1 1 2
Direct
0.0000 0.0000 0.0000
0.5000 0.5000 0.3060
0.0000 0.0000 0.5555
0.5000 0.5000 0.7603